Model A:
The following is a PBE-GGA calculation of crystalline KAlCl2 at its relaxed geometry, from Alexandria via LeMat-Bulk.

Cell: 5.318 5.318 5.318 Å, 60.00 60.00 60.00°
Element x y z (fractional)
Al: 0.000 0.000 0.000
K: 0.500 0.500 0.500
Cl: 0.750 0.750 0.750
Cl: 0.250 0.250 0.250

As for the crystal system: cubic.

---

Model B:
The following is a PBE-GGA calculation of crystalline KAlCl2 at its relaxed geometry, from Alexandria via LeMat-Bulk.

Cell: 4.411 7.618 6.207 Å, 35.42 90.00 90.00°
Element x y z (fractional)
Cl: 0.500 0.500 0.000
K: 0.500 0.500 0.500
Cl: 0.000 0.000 0.000
Al: 0.000 0.000 0.500

As for the crystal system: tetragonal.

---

Model C:
The following is a PBE-GGA calculation of crystalline KAlCl2 at its relaxed geometry, from Alexandria via LeMat-Bulk.

Cell: 8.930 8.930 8.930 Å, 29.75 29.75 29.75°
Element x y z (fractional)
Cl: 0.901 0.901 0.901
Al: 0.000 0.000 0.000
Cl: 0.099 0.099 0.099
K: 0.500 0.500 0.500

As for the crystal system: trigonal.

---

Model D:
The following is a PBE-GGA calculation of crystalline KAlCl2 at its relaxed geometry, from Alexandria via LeMat-Bulk.

Cell: 7.679 7.679 7.679 Å, 148.01 148.01 45.86°
Element x y z (fractional)
Cl: 0.250 0.750 0.500
Al: 0.750 0.250 0.500
Cl: 0.000 0.000 0.000
K: 0.500 0.500 0.000

As for the crystal system: tetragonal.

---

Ordering by calculated energy gives the sequence model B, model A, model C, model D, with the first entry being the most stable.

---

Model A:
The following is a PBE-GGA calculation of crystalline KAlCl2 at its relaxed geometry, from Alexandria via LeMat-Bulk.

Cell: 6.578 6.578 8.838 Å, 68.15 68.15 90.00°
Element x y z (fractional)
Cl: 0.875 0.849 0.750
K: 0.000 0.000 0.000
Cl: 0.151 0.625 0.250
Cl: 0.599 0.125 0.250
Al: 0.500 0.500 0.000
Al: 0.250 0.750 0.500
Cl: 0.375 0.401 0.750
K: 0.750 0.250 0.500

As for the crystal system: tetragonal.

---

Model B:
The following is a PBE-GGA calculation of crystalline KAlCl2 at its relaxed geometry, from Alexandria via LeMat-Bulk.

Cell: 3.927 3.838 7.753 Å, 89.93 90.00 90.00°
Element x y z (fractional)
Al: 0.500 0.750 0.750
Cl: 0.000 0.750 0.015
K: 0.500 0.250 0.250
Cl: 0.000 0.750 0.485

As for the crystal system: monoclinic.

---

Ordering by calculated energy gives the sequence model B, model A, with the first entry being the most stable.

---

Model A:
The following is a PBE-GGA calculation of crystalline KAl2Cl2 at its relaxed geometry, from Alexandria via LeMat-Bulk.

Cell: 5.615 5.615 6.267 Å, 63.39 63.39 90.00°
Element x y z (fractional)
K: 0.000 0.000 0.000
Al: 0.653 0.653 0.694
Cl: 0.250 0.750 0.500
Al: 0.347 0.347 0.306
Cl: 0.750 0.250 0.500

As for the crystal system: tetragonal.

---

Model B:
The following is a PBE-GGA calculation of crystalline KAl2Cl2 at its relaxed geometry, from Alexandria via LeMat-Bulk.

Cell: 9.024 9.024 3.466 Å, 90.00 90.00 90.00°
Element x y z (fractional)
K: 0.000 0.000 0.000
Al: 0.396 0.896 0.000
Cl: 0.220 0.720 0.500
Al: 0.104 0.396 0.000
Cl: 0.280 0.220 0.500
K: 0.500 0.500 0.000
Cl: 0.720 0.780 0.500
Al: 0.604 0.104 0.000
Cl: 0.780 0.280 0.500
Al: 0.896 0.604 0.000

As for the crystal system: tetragonal.

---

Ordering by calculated energy gives the sequence model A, model B, with the first entry being the most stable.

---

Model A:
The following is a PBE-GGA calculation of crystalline KAl3Cl at its relaxed geometry, from Alexandria via LeMat-Bulk.

Cell: 6.203 6.203 6.203 Å, 90.00 90.00 90.00°
Element x y z (fractional)
Al: 0.000 0.500 0.000
Al: 0.500 0.000 0.000
Cl: 0.500 0.500 0.500
Al: 0.000 0.000 0.500
K: 0.000 0.000 0.000

As for the crystal system: cubic.

---

Model B:
The following is a PBE-GGA calculation of crystalline KAl3Cl at its relaxed geometry, from Alexandria via LeMat-Bulk.

Cell: 5.421 5.421 5.421 Å, 90.00 90.00 90.00°
Element x y z (fractional)
K: 0.500 0.500 0.500
Al: 0.000 0.000 0.500
Al: 0.500 0.000 0.000
Al: 0.000 0.500 0.000
Cl: 0.000 0.000 0.000

As for the crystal system: cubic.

---

Ordering by calculated energy gives the sequence model B, model A, with the first entry being the most stable.

---

Model A:
The following is a PBE-GGA calculation of crystalline K2AlCl5 at its relaxed geometry, from Alexandria via LeMat-Bulk.

Cell: 9.135 12.015 12.654 Å, 90.00 90.00 90.00°
Each line ends with the local moment (μB).
Element x y z (fractional)
Cl: 0.500 0.381 0.898  0.00
Cl: 0.307 0.720 0.325  0.00
K: 0.725 0.500 0.500  0.00
Al: 0.500 0.258 0.771  0.00
K: 0.000 0.856 0.344  0.00
Cl: 0.500 0.905 0.155  0.00
K: 0.775 0.000 0.000  0.00
Al: 0.000 0.242 0.271  0.00
Cl: 0.000 0.595 0.655  0.00
Al: 0.500 0.742 0.229  0.00
Cl: 0.500 0.619 0.102  0.00
Cl: 0.500 0.623 0.619  0.08
Cl: 0.000 0.877 0.119  0.08
Cl: 0.000 0.405 0.345  0.00
Cl: 0.307 0.280 0.675  0.00
K: 0.275 0.500 0.500  0.00
Cl: 0.193 0.220 0.175  0.00
Cl: 0.807 0.780 0.825  0.00
Al: 0.000 0.758 0.729  0.00
K: 0.500 0.356 0.156  0.00
Cl: 0.500 0.377 0.381  0.08
K: 0.000 0.144 0.656  0.00
Cl: 0.500 0.095 0.845  0.00
K: 0.225 0.000 0.000  0.00
Cl: 0.807 0.220 0.175  0.00
Cl: 0.693 0.280 0.675  0.00
Cl: 0.000 0.123 0.881  0.08
Cl: 0.193 0.780 0.825  0.00
Cl: 0.000 0.881 0.602  0.00
Cl: 0.000 0.119 0.398  0.00
K: 0.500 0.644 0.844  0.00
Cl: 0.693 0.720 0.325  0.00

As for the crystal system: orthorhombic.

---

Model B:
The following is a PBE-GGA calculation of crystalline K2AlCl5 at its relaxed geometry, from Alexandria via LeMat-Bulk.

Cell: 7.344 7.344 6.900 Å, 122.16 122.16 90.00°
Element x y z (fractional)
Cl: 0.803 0.235 0.038
Cl: 0.803 0.803 0.038
Cl: 0.235 0.235 0.038
K: 0.253 0.753 0.507
Cl: 0.235 0.803 0.038
Al: 0.966 0.966 0.932
Cl: 0.728 0.728 0.455
K: 0.753 0.253 0.507

As for the crystal system: tetragonal.

---

Ordering by calculated energy gives the sequence model B, model A, with the first entry being the most stable.

---

Model A:
The following is a PBE-GGA calculation of crystalline KAlP2Cl at its relaxed geometry, from Alexandria via LeMat-Bulk.

Cell: 4.600 4.600 5.893 Å, 90.00 90.00 90.00°
Element x y z (fractional)
Cl: 0.000 0.000 0.500
P: 0.000 0.500 0.000
Al: 0.000 0.000 0.000
K: 0.500 0.500 0.500
P: 0.500 0.000 0.000

As for the crystal system: tetragonal.

---

Model B:
The following is a PBE-GGA calculation of crystalline KAlP2Cl at its relaxed geometry, from Alexandria via LeMat-Bulk.

Cell: 6.124 6.124 5.646 Å, 90.00 90.00 90.00°
Each line ends with the local moment (μB).
Element x y z (fractional)
Al: 0.500 0.500 0.500  0.01
Cl: 0.000 0.000 0.500  0.11
P: 0.000 0.500 0.000  1.00
K: 0.000 0.000 0.000  0.05
P: 0.500 0.000 0.000  1.00

As for the crystal system: tetragonal.

---

Ordering by calculated energy gives the sequence model A, model B, with the first entry being the most stable.

---

Model A:
The following is a PBE-GGA calculation of crystalline KAlS2Cl at its relaxed geometry, from Alexandria via LeMat-Bulk.

Cell: 4.612 4.612 5.327 Å, 90.00 90.00 90.00°
Each line ends with the local moment (μB).
Element x y z (fractional)
S: 0.500 0.000 0.000  0.09
S: 0.000 0.500 0.000  0.09
Cl: 0.000 0.000 0.500  0.00
K: 0.500 0.500 0.500  0.00
Al: 0.000 0.000 0.000  0.00

As for the crystal system: tetragonal.

---

Model B:
The following is a PBE-GGA calculation of crystalline KAlS2Cl at its relaxed geometry, from Alexandria via LeMat-Bulk.

Cell: 5.827 5.719 5.827 Å, 90.00 90.00 90.00°
Each line ends with the local moment (μB).
Element x y z (fractional)
S: 0.000 0.000 0.500  0.90
K: 0.000 0.000 0.000  0.01
Cl: 0.000 0.500 0.000  0.14
Al: 0.500 0.500 0.500  0.01
S: 0.500 0.000 0.000  0.74

As for the crystal system: tetragonal.

---

Ordering by calculated energy gives the sequence model A, model B, with the first entry being the most stable.

---

Model A:
The following is a PBE-GGA calculation of crystalline LaAlP2Cl at its relaxed geometry, from Alexandria via LeMat-Bulk.

Cell: 4.718 4.718 4.837 Å, 90.00 90.00 90.00°
Element x y z (fractional)
La: 0.500 0.500 0.500
Cl: 0.000 0.000 0.500
Al: 0.000 0.000 0.000
P: 0.000 0.500 0.000
P: 0.500 0.000 0.000

As for the crystal system: tetragonal.

---

Model B:
The following is a PBE-GGA calculation of crystalline LaAlP2Cl at its relaxed geometry, from Alexandria via LeMat-Bulk.

Cell: 5.600 5.600 5.506 Å, 90.00 90.00 90.00°
Each line ends with the local moment (μB).
Element x y z (fractional)
Cl: 0.000 0.000 0.500  0.03
P: 0.000 0.500 0.000  0.17
La: 0.000 0.000 0.000  0.02
P: 0.500 0.000 0.000  0.17
Al: 0.500 0.500 0.500  0.01

As for the crystal system: tetragonal.

---

Ordering by calculated energy gives the sequence model A, model B, with the first entry being the most stable.

---

Model A:
The following is a PBE-GGA calculation of crystalline LaAlS2Cl at its relaxed geometry, from Alexandria via LeMat-Bulk.

Cell: 5.503 5.503 5.596 Å, 90.00 90.00 90.00°
Element x y z (fractional)
S: 0.000 0.500 0.000
Cl: 0.000 0.000 0.500
La: 0.000 0.000 0.000
Al: 0.500 0.500 0.500
S: 0.500 0.000 0.000

As for the crystal system: tetragonal.

---

Model B:
The following is a PBE-GGA calculation of crystalline LaAlS2Cl at its relaxed geometry, from Alexandria via LeMat-Bulk.

Cell: 4.780 4.780 4.655 Å, 90.00 90.00 90.00°
Each line ends with the local moment (μB).
Element x y z (fractional)
S: 0.500 0.000 0.000  0.00
Al: 0.000 0.000 0.000  0.01
La: 0.500 0.500 0.500  0.24
Cl: 0.000 0.000 0.500  0.00
S: 0.000 0.500 0.000  0.00

As for the crystal system: tetragonal.

---

Ordering by calculated energy gives the sequence model B, model A, with the first entry being the most stable.

---

Model A:
The following is a PBE-GGA calculation of crystalline Li2AlCl at its relaxed geometry, from Alexandria via LeMat-Bulk.

Cell: 5.381 5.381 5.381 Å, 134.68 134.68 66.03°
Element x y z (fractional)
Li: 0.500 0.500 0.000
Al: 0.250 0.750 0.500
Cl: 0.750 0.250 0.500
Li: 0.000 0.000 0.000

As for the crystal system: tetragonal.

---

Model B:
The following is a PBE-GGA calculation of crystalline Li2AlCl at its relaxed geometry, from Alexandria via LeMat-Bulk.

Cell: 3.054 3.054 7.591 Å, 90.00 90.00 90.00°
Element x y z (fractional)
Li: 0.000 0.000 0.548
Cl: 0.500 0.500 0.750
Li: 0.000 0.000 0.952
Al: 0.500 0.500 0.250

As for the crystal system: tetragonal.

---

Ordering by calculated energy gives the sequence model B, model A, with the first entry being the most stable.

---

Model A:
The following is a PBE-GGA calculation of crystalline Li2AlCl at its relaxed geometry, from Alexandria via LeMat-Bulk.

Cell: 5.060 5.060 5.060 Å, 60.00 60.00 60.00°
Element x y z (fractional)
Cl: 0.750 0.750 0.750
Li: 0.000 0.000 0.000
Li: 0.250 0.250 0.250
Al: 0.500 0.500 0.500

As for the crystal system: cubic.

---

Model B:
The following is a PBE-GGA calculation of crystalline Li2AlCl at its relaxed geometry, from Alexandria via LeMat-Bulk.

Cell: 6.723 3.759 3.456 Å, 90.00 90.00 90.00°
Element x y z (fractional)
Cl: 0.500 0.629 0.686
Al: 0.000 0.620 0.558
Li: 0.000 0.120 0.055
Li: 0.500 0.131 0.201

As for the crystal system: monoclinic.

---

Model C:
The following is a PBE-GGA calculation of crystalline Li2AlCl at its relaxed geometry, from Alexandria via LeMat-Bulk.

Cell: 3.220 3.104 8.180 Å, 90.00 90.00 90.00°
Element x y z (fractional)
Al: 0.000 0.000 0.471
Li: 0.000 0.000 0.841
Li: 0.500 0.500 0.237
Cl: 0.500 0.500 0.950

As for the crystal system: orthorhombic.

---

Model D:
The following is a PBE-GGA calculation of crystalline Li2AlCl at its relaxed geometry, from Alexandria via LeMat-Bulk.

Cell: 3.273 3.273 8.062 Å, 78.33 78.33 60.13°
Element x y z (fractional)
Li: 0.983 0.983 0.052
Li: 0.517 0.517 0.448
Cl: 0.250 0.250 0.250
Al: 0.750 0.750 0.750

As for the crystal system: monoclinic.

---

Ordering by calculated energy gives the sequence model D, model C, model B, model A, with the first entry being the most stable.